Record 1
The following is a DFT calculation (PBE) of a relaxed OsPbCl2 crystal.

## Properties
Crystal system: orthorhombic
Magnetic moment in μB per formula unit: 0.0
E above lowest polymorph in meV/atom: 0.0
ΔE_f (raw) in meV/atom: 112

Cell: 3.654 6.080 6.079 Å, 52.67 90.00 90.00°
Fractional coordinates of all 4 atoms:
Pb 0.500 0.750 0.750
Cl 0.000 0.107 0.106
Cl 0.000 0.393 0.394
Os 0.500 0.250 0.250

***

Record 2
The following is a DFT calculation (PBE) of a relaxed LiYSn crystal.

## Properties
Crystal system: trigonal
Magnetic moment in μB per formula unit: 0.0
Energy relative to the elements in kJ/mol of formula units: -158

Cell: 7.932 7.932 7.932 Å, 34.34 34.34 34.34°
Fractional coordinates of all 6 atoms:
Li 0.120 0.120 0.120
Li 0.679 0.679 0.679
Y 0.552 0.552 0.552
Y 0.384 0.384 0.384
Sn 0.974 0.974 0.974
Sn 0.805 0.805 0.805

***

Record 3
The following is a DFT calculation (PBE) of a relaxed Er13Tm3 crystal.

## Properties
Crystal system: orthorhombic
Magnetic moment in μB per formula unit: 0.0
E above lowest polymorph in meV/atom: 22.6
Energy relative to the elements in kJ/mol of formula units: 32

Cell: 6.985 6.985 9.872 Å, 90.00 90.00 90.00°
Fractional coordinates of all 16 atoms:
Er 0.250 0.750 0.000
Er 0.750 0.750 0.000
Er 0.000 0.500 0.250
Er 0.250 0.750 0.500
Er 0.250 0.250 0.500
Er 0.250 0.250 0.000
Er 0.500 0.000 0.750
Er 0.500 0.500 0.250
Er 0.500 0.500 0.750
Er 0.000 0.500 0.750
Er 0.750 0.750 0.500
Er 0.750 0.250 0.500
Er 0.500 0.000 0.250
Tm 0.750 0.250 0.000
Tm 0.000 0.000 0.250
Tm 0.000 0.000 0.750

***

Record 4
The following is a DFT calculation (PBE) of a relaxed La4Sm3Ho2 crystal.

## Properties
Crystal system: monoclinic
Magnetic moment in μB per formula unit: 0.0
E above lowest polymorph in meV/atom: 60.8
Energy relative to the elements in kJ/mol of formula units: 75

Cell: 3.713 6.783 14.802 Å, 64.25 90.00 105.89°
Fractional coordinates of all 9 atoms:
Sm 0.000 0.000 0.000
Sm 0.618 0.237 0.385
Sm 0.382 0.763 0.615
Ho 0.659 0.318 0.790
Ho 0.341 0.682 0.210
La 0.651 0.302 0.128
La 0.349 0.698 0.872
La 0.888 0.775 0.395
La 0.112 0.225 0.605

***

Record 5
The following is a DFT calculation (PBE) of a relaxed Rb2AsOsCl6 crystal.

## Properties
Crystal system: tetragonal
Magnetic moment in μB per formula unit: 1.9
ΔE_f (raw) in meV/atom: -771

Cell: 7.044 7.044 7.607 Å, 62.42 62.42 90.00°
Site moments in Bohr magnetons follow the coordinates.
Fractional coordinates of all 10 atoms:
Rb 0.250 0.750 0.500  0.00
Rb 0.750 0.250 0.500  0.00
Cl 0.792 0.792 0.416  0.02
Cl 0.758 0.242 0.000  0.03
Cl 0.242 0.242 0.000  0.03
Cl 0.758 0.758 0.000  0.03
Cl 0.242 0.758 0.000  0.03
Cl 0.208 0.208 0.584  0.02
Os 0.000 0.000 0.000  0.84
As 0.500 0.500 0.000  0.38

***

Record 6
The following is a DFT calculation (PBE) of a relaxed Pr3DyGa2 crystal.

## Properties
Crystal system: monoclinic
Magnetic moment in μB per formula unit: 0.0
E above lowest polymorph in meV/atom: 58.4
Energy relative to the elements in kJ/mol of formula units: -191

Cell: 4.598 10.265 9.376 Å, 125.14 90.00 102.94°
Fractional coordinates of all 12 atoms:
Ga 0.235 0.469 0.752
Ga 0.493 0.985 0.128
Ga 0.507 0.015 0.872
Ga 0.765 0.531 0.248
Pr 0.652 0.303 0.824
Pr 0.956 0.913 0.600
Pr 0.348 0.697 0.176
Pr 0.322 0.643 0.574
Pr 0.678 0.357 0.426
Pr 0.044 0.087 0.400
Dy 0.884 0.767 0.906
Dy 0.116 0.233 0.094

***

Record 7
The following is a DFT calculation (PBE) of a relaxed SrCaSn4 crystal.

## Properties
Crystal system: orthorhombic
Magnetic moment in μB per formula unit: 0.0
E above lowest polymorph in meV/atom: 84.2
Energy relative to the elements in kJ/mol of formula units: -221

Cell: 4.547 8.077 20.974 Å, 90.00 90.00 90.00°
Fractional coordinates of all 24 atoms:
Sn 0.500 0.543 0.571
Sn 0.500 0.957 0.071
Sn 0.500 0.680 0.958
Sn 0.500 0.820 0.458
Sn 0.500 0.692 0.697
Sn 0.500 0.043 0.929
Sn 0.500 0.541 0.824
Sn 0.500 0.041 0.676
Sn 0.500 0.959 0.324
Sn 0.500 0.459 0.176
Sn 0.500 0.192 0.803
Sn 0.500 0.180 0.542
Sn 0.500 0.457 0.429
Sn 0.500 0.808 0.197
Sn 0.500 0.308 0.303
Sn 0.500 0.320 0.042
Ca 0.000 0.144 0.419
Ca 0.000 0.644 0.081
Ca 0.000 0.356 0.919
Ca 0.000 0.856 0.581
Sr 0.000 0.365 0.685
Sr 0.000 0.635 0.315
Sr 0.000 0.135 0.185
Sr 0.000 0.865 0.815

***

Record 8
The following is a DFT calculation (PBE) of a relaxed Cs2CdSe crystal.

## Properties
Crystal system: cubic
Magnetic moment in μB per formula unit: 0.0
E above lowest polymorph in meV/atom: 0.0
ΔE_f (raw) in meV/atom: -624

Cell: 6.215 6.215 6.215 Å, 60.00 60.00 60.00°
Fractional coordinates of all 4 atoms:
Cd 0.500 0.500 0.500
Cs 0.250 0.250 0.250
Cs 0.750 0.750 0.750
Se 0.000 0.000 0.000

***

Record 9
The following is a DFT calculation (PBE) of a relaxed Nd3Cd4Pd4 crystal.

## Properties
Crystal system: orthorhombic
Magnetic moment in μB per formula unit: 0.0
Energy relative to the elements in kJ/mol of formula units: -622

Cell: 4.179 8.029 8.776 Å, 117.22 103.77 90.00°
Fractional coordinates of all 11 atoms:
Pd 0.500 0.185 0.000
Pd 0.230 0.730 0.459
Pd 0.500 0.815 0.000
Pd 0.770 0.270 0.541
Nd 0.879 0.879 0.759
Nd 0.121 0.121 0.241
Nd 0.000 0.500 0.000
Cd 0.671 0.477 0.341
Cd 0.329 0.136 0.659
Cd 0.329 0.523 0.659
Cd 0.671 0.864 0.341

***

Record 10
The following is a DFT calculation (PBE) of a relaxed CaIn2BIr crystal.

## Properties
Crystal system: tetragonal
Magnetic moment in μB per formula unit: 0.8
Energy relative to the elements in kJ/mol of formula units: 970

Cell: 5.570 4.368 5.570 Å, 90.00 90.00 90.00°
Site moments in Bohr magnetons follow the coordinates.
Fractional coordinates of all 5 atoms:
In 0.500 0.000 0.000  0.00
In 0.000 0.000 0.500  -0.01
Ca 0.000 0.000 0.000  0.00
B 0.000 0.500 0.000  0.01
Ir 0.500 0.500 0.500  0.82

***

Record 11
The following is a DFT calculation (PBE) of a relaxed BeV3Pt crystal.

## Properties
Crystal system: cubic
Magnetic moment in μB per formula unit: 0.7
E above lowest polymorph in meV/atom: 0.0
Energy relative to the elements in kJ/mol of formula units: 166

Cell: 4.076 4.076 4.076 Å, 90.00 90.00 90.00°
Site moments in Bohr magnetons follow the coordinates.
Fractional coordinates of all 5 atoms:
V 0.500 0.000 0.000  0.20
V 0.000 0.000 0.500  0.20
V 0.000 0.500 0.000  0.20
Be 0.000 0.000 0.000  -0.01
Pt 0.500 0.500 0.500  0.00